No. 1
CeNd2CrN4 | PBE | relaxed

The uncorrected formation energy comes out at -1.05 eV per atom. For the electronic total energy, the calculation gives -8.346 eV/atom.

POSCAR file:
```
CeNd2CrN4
1.0
1.7328 -5.8795 0.0000
1.7328 5.8795 0.0000
0.0000 0.0000 12.1686
Ce Nd Cr N
2 4 2 8
Direct
0.1011 0.8989 0.7500
0.8989 0.1011 0.2500
0.3676 0.6324 0.5444
0.3676 0.6324 0.9556
0.6324 0.3676 0.0444
0.6324 0.3676 0.4556
0.1675 0.8325 0.2500
0.8325 0.1675 0.7500
0.0000 0.0000 0.0000
0.0000 0.0000 0.5000
0.2745 0.7255 0.1388
0.2745 0.7255 0.3612
0.4207 0.5793 0.7500
0.5793 0.4207 0.2500
0.7255 0.2745 0.6388
0.7255 0.2745 0.8612
```

No. 2
SrHgRu2O8 | PBE | relaxed

The uncorrected formation energy comes out at -1.02 eV per atom. For the electronic total energy, the calculation gives -6.037 eV/atom.

POSCAR file:
```
SrHgRu2O8
1.0
3.8084 -3.4353 0.0000
3.8084 3.4353 0.0000
-1.5969 0.0000 7.3346
Sr Hg Ru O
1 1 2 8
Direct
0.0000 0.0000 0.0000
0.0000 0.0000 0.5000
0.4518 0.4518 0.7794
0.5482 0.5482 0.2206
0.2241 0.7029 0.2347
0.2842 0.2842 0.5614
0.2971 0.7759 0.7653
0.3261 0.3261 0.9630
0.6739 0.6739 0.0370
0.7029 0.2241 0.2347
0.7158 0.7158 0.4386
0.7759 0.2971 0.7653
```

No. 3
CaBeCu2Bi | PBE | relaxed

For the electronic total energy, the calculation gives -3.445 eV/atom.

POSCAR file:
```
CaBeCu2Bi
1.0
4.4376 0.0000 0.0000
0.0000 4.4376 0.0000
0.0000 0.0000 5.0717
Ca Be Cu Bi
1 1 2 1
Direct
0.0000 0.0000 0.0000
0.5000 0.5000 0.5000
0.0000 0.5000 0.5000
0.5000 0.0000 0.5000
0.5000 0.5000 0.0000
```

No. 4
FeTeMo2 | PBE | relaxed

The uncorrected formation energy comes out at 0.39 eV per atom. For the electronic total energy, the calculation gives -7.923 eV/atom.

POSCAR file:
```
FeTeMo2
1.0
3.1658 0.0000 0.0000
0.0000 3.1658 0.0000
0.0000 0.0000 6.4812
Fe Te Mo
1 1 2
Direct
0.0000 0.0000 0.0000
0.0000 0.0000 0.5000
0.5000 0.5000 0.2283
0.5000 0.5000 0.7717
```

No. 5
Be2CdI | PBE | relaxed

The uncorrected formation energy comes out at 1.14 eV per atom. For the electronic total energy, the calculation gives -1.340 eV/atom.

POSCAR file:
```
Be2CdI
1.0
0.0000 3.4190 3.4190
3.4190 0.0000 3.4190
3.4190 3.4190 0.0000
Be Cd I
2 1 1
Direct
0.2500 0.2500 0.2500
0.7500 0.7500 0.7500
0.0000 0.0000 0.0000
0.5000 0.5000 0.5000
```

No. 6
RbBaOs2 | PBE | relaxed

For the electronic total energy, the calculation gives -4.174 eV/atom.

POSCAR file:
```
RbBaOs2
1.0
0.0000 3.8756 3.8756
3.8756 0.0000 3.8756
3.8756 3.8756 0.0000
Rb Ba Os
1 1 2
Direct
0.0000 0.0000 0.0000
0.5000 0.5000 0.5000
0.2500 0.2500 0.2500
0.7500 0.7500 0.7500
```

- What is the electronic total energy in the second record?
  -6.037 eV/atom

- Number 5 is which compound?
  Be2CdI